[1]
DFT (GGA-PBE) results for a geometry-optimized SrPdSeO structure.

Properties
Space-group type: P4/nmm
Calculated density, g/cm3: 6.222
Electronic total energy, eV/atom: -5.08

a b c (Å): 3.9464 3.9464 9.9047
angles (deg): 90.00 90.00 90.00
Last column: nearest neighbours and their distance in Å.
Sites, in units of the cell vectors:
O 0.2500 0.2500 0.3997  1 Sr 2.35, 1 Se 2.36
O 0.7500 0.7500 0.6003  1 Sr 2.35, 1 Se 2.36
Pd 0.7500 0.2500 0.0000  4 Se 2.54, 4 Pd 2.79
Pd 0.2500 0.7500 0.0000  4 Se 2.54, 4 Pd 2.79
Se 0.2500 0.2500 0.1610  1 O 2.36, 4 Pd 2.54
Se 0.7500 0.7500 0.8390  1 O 2.36, 4 Pd 2.54
Sr 0.7500 0.7500 0.3627  1 O 2.35
Sr 0.2500 0.2500 0.6373  1 O 2.35


[2]
DFT (GGA-PBE) results for a geometry-optimized TlPdSe2O8 structure.

Properties
Space-group type: P-3m1
Calculated density, g/cm3: 5.107
Electronic total energy, eV/atom: -4.96

a b c (Å): 5.4969 5.4969 7.4152
angles (deg): 90.00 90.00 120.00
Last column: nearest neighbours and their distance in Å.
Sites, in units of the cell vectors:
O 0.3248 0.1624 0.1846  1 Se 1.69
O 0.8376 0.1624 0.1846  1 Se 1.69
O 0.8376 0.6752 0.1846  1 Se 1.69
O 0.6667 0.3333 0.4685  1 Se 1.65
O 0.3333 0.6667 0.5315  1 Se 1.65
O 0.1624 0.3248 0.8154  1 Se 1.69
O 0.1624 0.8376 0.8154  1 Se 1.69
O 0.6752 0.8376 0.8154  1 Se 1.69
Pd 0.0000 0.0000 0.0000  6 O 2.07
Se 0.6667 0.3333 0.2465  4 O 1.65-1.69
Se 0.3333 0.6667 0.7535  4 O 1.65-1.69
Tl 0.0000 0.0000 0.5000  6 O 2.80


[3]
DFT (GGA-PBE) results for a geometry-optimized Si2Pd2O5 structure.

Properties
Space-group type: P4/mmm
Calculated density, g/cm3: 6.337
Electronic total energy, eV/atom: -6.24

a b c (Å): 7.9092 3.4005 3.4005
angles (deg): 90.00 90.00 90.00
Last column: nearest neighbours and their distance in Å.
Sites, in units of the cell vectors:
O 0.2296 0.5000 0.0000  2 Si 1.74
O 0.7704 0.5000 0.0000  2 Si 1.74
O 0.2296 0.0000 0.5000  2 Si 1.74
O 0.7704 0.0000 0.5000  2 Si 1.74
O 0.5000 0.5000 0.5000  2 Si 1.75
Pd 0.0000 0.0000 0.0000  8 O 2.49
Pd 0.5000 0.0000 0.0000  4 O 2.40
Si 0.2785 0.5000 0.5000  5 O 1.74-1.75
Si 0.7215 0.5000 0.5000  5 O 1.74-1.75


[4]
DFT (GGA-PBE) results for a geometry-optimized Si2Pd2O5 structure.

Properties
Space-group type: P4/mmm
Calculated density, g/cm3: 5.343
Electronic total energy, eV/atom: -5.19

a b c (Å): 7.3960 3.8296 3.8296
angles (deg): 90.00 90.00 90.00
Last column: nearest neighbours and their distance in Å.
Sites, in units of the cell vectors:
O 0.1568 0.5000 0.0000  2 Pd 1.97
O 0.8431 0.5000 0.0000  2 Pd 1.97
O 0.1568 0.0000 0.5000  2 Pd 1.97
O 0.8431 0.0000 0.5000  2 Pd 1.97
O 0.5000 0.5000 0.5000  2 Pd 2.09
Pd 0.2168 0.5000 0.5000  5 O 1.97-2.09
Pd 0.7832 0.5000 0.5000  5 O 1.97-2.09
Si 0.0000 0.0000 0.0000  8 O 2.24
Si 0.5000 0.0000 0.0000  4 O 2.71


[5]
DFT (GGA-PBE) results for a geometry-optimized SiPdO3 structure.

Properties
Space-group type: C2/m
Calculated density, g/cm3: 5.051
Electronic total energy, eV/atom: -6.72

a b c (Å): 6.0796 6.0796 7.4159
angles (deg): 109.19 109.19 27.73
Last column: nearest neighbours and their distance in Å.
Sites, in units of the cell vectors:
O 0.3700 0.3700 0.0590  2 Si 1.66
O 0.0548 0.0548 0.2649  1 Si 1.67
O 0.8317 0.8317 0.3291  1 Si 1.66
O 0.1683 0.1683 0.6709  1 Si 1.66
O 0.9452 0.9452 0.7351  1 Si 1.67
O 0.6300 0.6300 0.9410  2 Si 1.66
Pd 0.6164 0.6164 0.4673  4 O 2.04
Pd 0.3836 0.3836 0.5327  4 O 2.04
Si 0.9049 0.9049 0.1730  4 O 1.66-1.67
Si 0.0951 0.0951 0.8270  4 O 1.66-1.67


[6]
DFT (GGA-PBE) results for a geometry-optimized SiPdO3 structure.

Properties
Space-group type: C2/c
Calculated density, g/cm3: 5.318
Electronic total energy, eV/atom: -6.61

a b c (Å): 6.6539 6.6539 5.4332
angles (deg): 103.24 103.24 87.43
Last column: nearest neighbours and their distance in Å.
Sites, in units of the cell vectors:
O 0.3891 0.3355 0.0380  2 Si 1.65-1.66
O 0.8735 0.3958 0.1324  1 Si 1.64
O 0.1830 0.0582 0.1777  1 Si 1.64
O 0.9418 0.8170 0.3223  1 Si 1.64
O 0.6042 0.1265 0.3676  1 Si 1.64
O 0.6645 0.6109 0.4620  2 Si 1.65-1.66
O 0.3355 0.3891 0.5380  2 Si 1.65-1.66
O 0.3958 0.8735 0.6324  1 Si 1.64
O 0.0582 0.1830 0.6777  1 Si 1.64
O 0.8170 0.9418 0.8223  1 Si 1.64
O 0.1265 0.6042 0.8676  1 Si 1.64
O 0.6109 0.6645 0.9620  2 Si 1.65-1.66
Pd 0.8852 0.1148 0.2500  6 O 2.10-2.30
Pd 0.2739 0.7261 0.2500  2 O 2.07
Pd 0.7261 0.2739 0.7500  2 O 2.07
Pd 0.1148 0.8852 0.7500  6 O 2.10-2.30
Si 0.7760 0.6241 0.2242  4 O 1.64-1.66
Si 0.3759 0.2240 0.2758  4 O 1.64-1.66
Si 0.6241 0.7760 0.7242  4 O 1.64-1.66
Si 0.2240 0.3759 0.7758  4 O 1.64-1.66


[7]
DFT (GGA-PBE) results for a geometry-optimized Sm2TaPdO6 structure.

Properties
Spin magnetization, μB per cell: 1.00
Space-group type: I4/m
Calculated density, g/cm3: 8.385
Electronic total energy, eV/atom: -8.08

a b c (Å): 5.7182 5.7182 5.7182
angles (deg): 118.26 118.26 93.03
Last column: nearest neighbours and their distance in Å.
Sites, in units of the cell vectors:
O 0.2553 0.2553 0.0000  1 Ta 1.93, 1 Pd 2.01
O 0.7447 0.7447 0.0000  1 Ta 1.93, 1 Pd 2.01
O 0.3759 0.8166 0.1925  1 Ta 2.00
O 0.8166 0.6241 0.4407  1 Ta 2.00
O 0.1834 0.3759 0.5593  1 Ta 2.00
O 0.6241 0.1834 0.8075  1 Ta 2.00
Pd 0.0000 0.0000 0.0000  2 O 2.01
Sm 0.7500 0.2500 0.5000  4 O 2.36
Sm 0.2500 0.7500 0.5000  4 O 2.36
Ta 0.5000 0.5000 0.0000  6 O 1.93-2.00


[8]
DFT (GGA-PBE) results for a geometry-optimized Sn2PdO4 structure.

Properties
Space-group type: Fd-3m
Calculated density, g/cm3: 6.740
Electronic total energy, eV/atom: -5.66

a b c (Å): 6.5745 6.5745 6.5745
angles (deg): 119.99 90.01 119.99
Last column: nearest neighbours and their distance in Å.
Sites, in units of the cell vectors:
O 0.1803 0.7869 0.3934  3 Sn 2.17, 1 Pd 2.31
O 0.6065 0.2131 0.3934  3 Sn 2.17, 1 Pd 2.31
O 0.6066 0.7869 0.3935  3 Sn 2.17, 1 Pd 2.31
O 0.1434 0.2869 0.4303  3 Sn 2.17, 1 Pd 2.31
O 0.6066 0.2131 0.8197  3 Sn 2.17, 1 Pd 2.31
O 0.1434 0.7131 0.8565  3 Sn 2.17, 1 Pd 2.31
O 0.5697 0.7131 0.8566  3 Sn 2.17, 1 Pd 2.31
O 0.1435 0.2869 0.8566  3 Sn 2.17, 1 Pd 2.31
Pd 0.0000 0.0000 0.0000  4 O 2.31
Pd 0.7500 0.5000 0.2500  4 O 2.31
Sn 0.3750 0.7500 0.1250  6 O 2.17
Sn 0.3750 0.7500 0.6250  6 O 2.17
Sn 0.8750 0.2500 0.6250  6 O 2.17
Sn 0.3750 0.2500 0.6250  6 O 2.17


[9]
DFT (GGA-PBE) results for a geometry-optimized Sn2Pd2O5 structure.

Properties
Space-group type: P4/mmm
Calculated density, g/cm3: 7.316
Electronic total energy, eV/atom: -5.39

a b c (Å): 8.4290 3.7788 3.7788
angles (deg): 90.00 90.00 90.00
Last column: nearest neighbours and their distance in Å.
Sites, in units of the cell vectors:
O 0.1623 0.5000 0.0000  2 Sn 2.07
O 0.8377 0.5000 0.0000  2 Sn 2.07
O 0.1623 0.0000 0.5000  2 Sn 2.07
O 0.8377 0.0000 0.5000  2 Sn 2.07
O 0.5000 0.5000 0.5000  2 Sn 2.01
Pd 0.0000 0.0000 0.0000  8 O 2.33
Pd 0.5000 0.0000 0.0000  4 O 2.67
Sn 0.2612 0.5000 0.5000  5 O 2.01-2.07
Sn 0.7388 0.5000 0.5000  5 O 2.01-2.07


[10]
DFT (GGA-PBE) results for a geometry-optimized Sn2Pd2O5 structure.

Properties
Space-group type: P4/mmm
Calculated density, g/cm3: 7.774
Electronic total energy, eV/atom: -5.22

a b c (Å): 6.9509 4.0367 4.0367
angles (deg): 90.00 90.00 90.00
Last column: nearest neighbours and their distance in Å.
Sites, in units of the cell vectors:
O 0.2364 0.5000 0.0000  2 Pd 2.04
O 0.7636 0.5000 0.0000  2 Pd 2.04
O 0.2364 0.0000 0.5000  2 Pd 2.04
O 0.7636 0.0000 0.5000  2 Pd 2.04
O 0.5000 0.5000 0.5000  2 Pd 2.10
Pd 0.1978 0.5000 0.5000  5 O 2.04-2.10
Pd 0.8022 0.5000 0.5000  5 O 2.04-2.10
Sn 0.0000 0.0000 0.0000  8 O 2.60
Sn 0.5000 0.0000 0.0000  12 O 2.73-2.85


[11]
DFT (GGA-PBE) results for a geometry-optimized SnTePdO structure.

Properties
Space-group type: P2_12_12_1
Calculated density, g/cm3: 6.564
Electronic total energy, eV/atom: -4.94

a b c (Å): 4.4779 8.0330 10.3722
angles (deg): 90.00 90.00 90.00
Last column: nearest neighbours and their distance in Å.
Sites, in units of the cell vectors:
O 0.7580 0.2091 0.0715  2 Sn 2.04-2.18
O 0.2420 0.7091 0.4285  2 Sn 2.04-2.18
O 0.7420 0.7909 0.5715  2 Sn 2.04-2.18
O 0.2580 0.2909 0.9285  2 Sn 2.04-2.18
Pd 0.2690 0.8185 0.0569  3 Te 2.60-2.78, 1 Sn 2.62, 2 Pd 2.76
Pd 0.7310 0.3185 0.4431  3 Te 2.60-2.78, 1 Sn 2.62, 2 Pd 2.76
Pd 0.2310 0.1815 0.5569  3 Te 2.60-2.78, 1 Sn 2.62, 2 Pd 2.76
Pd 0.7690 0.6815 0.9431  3 Te 2.60-2.78, 1 Sn 2.62, 2 Pd 2.76
Sn 0.2874 0.1425 0.0872  2 O 2.04-2.18
Sn 0.7126 0.6425 0.4128  2 O 2.04-2.18
Sn 0.2126 0.8575 0.5872  2 O 2.04-2.18
Sn 0.7874 0.3575 0.9128  2 O 2.04-2.18
Te 0.7685 0.8352 0.1836  3 Pd 2.60-2.78, 1 Sn 2.85
Te 0.2315 0.3352 0.3164  3 Pd 2.60-2.78, 1 Sn 2.85
Te 0.7315 0.1648 0.6836  3 Pd 2.60-2.78, 1 Sn 2.85
Te 0.2685 0.6648 0.8164  3 Pd 2.60-2.78, 1 Sn 2.85


[12]
DFT (GGA-PBE) results for a geometry-optimized SnTePdO structure.

Properties
Space-group type: P2_12_12_1
Calculated density, g/cm3: 7.401
Electronic total energy, eV/atom: -4.90

a b c (Å): 8.8211 4.9764 7.5388
angles (deg): 90.00 90.00 90.00
Last column: nearest neighbours and their distance in Å.
Sites, in units of the cell vectors:
O 0.5727 0.4582 0.1810  2 Sn 2.05-2.12, 1 Pd 2.17
O 0.4273 0.9582 0.3190  2 Sn 2.05-2.12, 1 Pd 2.17
O 0.9273 0.5418 0.6810  2 Sn 2.05-2.12, 1 Pd 2.17
O 0.0727 0.0418 0.8190  2 Sn 2.05-2.12, 1 Pd 2.17
Pd 0.1716 0.2652 0.0377  1 O 2.17
Pd 0.8284 0.7652 0.4623  1 O 2.17
Pd 0.3284 0.7348 0.5377  1 O 2.17
Pd 0.6716 0.2348 0.9623  1 O 2.17
Sn 0.3580 0.6162 0.1710  2 O 2.05-2.12
Sn 0.6420 0.1162 0.3290  2 O 2.05-2.12
Sn 0.1420 0.3838 0.6710  2 O 2.05-2.12
Sn 0.8580 0.8838 0.8290  2 O 2.05-2.12
Te 0.9091 0.5003 0.1202  3 Pd 2.67-2.98, 1 Sn 2.94
Te 0.0909 0.0003 0.3798  3 Pd 2.67-2.98, 1 Sn 2.94
Te 0.5909 0.4997 0.6202  3 Pd 2.67-2.98, 1 Sn 2.94
Te 0.4091 0.9997 0.8798  3 Pd 2.67-2.98, 1 Sn 2.94